A plane-wave DFT calculation with GGA-PBE was carried out for crystalline LiCa2Si at its relaxed geometry.

```
LiCa2Si
1.0
8.6771 0.0000 0.0000
0.0000 3.5672 0.0000
-1.0297 0.0000 7.6286
Li Ca Si
2 4 2
Cartesian
0.0000 0.0000 0.0000
4.3385 1.7836 0.0000
1.2749 0.0000 5.3796
2.0339 1.7836 2.2490
5.6135 1.7836 5.3796
6.3725 0.0000 2.2490
-0.5149 1.7836 3.8143
3.8237 0.0000 3.8143
```

Output
The value obtained for the calculated volume is 236.1 Å³ per cell. The calculation puts the density of states at the Fermi level at 0.36 states/eV per atom. As for the total energy: -2.89 eV per atom.

A plane-wave DFT calculation with GGA-PBE was carried out for crystalline GaMoOs2 at its relaxed geometry.

```
GaMoOs2
1.0
7.0720 0.0000 0.0000
0.0000 7.0720 0.0000
0.0000 0.0000 5.3248
Ga Mo Os
4 4 8
Cartesian
0.0000 0.0000 0.0000
0.0000 3.5360 1.3312
3.5360 0.0000 3.9936
3.5360 3.5360 2.6624
0.0000 0.0000 2.6624
0.0000 3.5360 3.9936
3.5360 0.0000 1.3312
3.5360 3.5360 0.0000
1.6412 1.7680 3.3280
1.7680 5.1772 4.6592
1.7680 5.4309 1.9968
1.8949 1.7680 0.6656
5.1772 5.3040 0.6656
5.3040 1.6412 1.9968
5.3040 1.8949 4.6592
5.4309 5.3040 3.3280
```

Output
The value obtained for the calculated volume is 266.3 Å³ per cell. As for the formation energy: 802 meV/atom. The calculation puts the density of states at the Fermi level at 0.94 states/eV per atom.

A plane-wave DFT calculation with GGA-PBE was carried out for crystalline Ba2Mg5Zn3 at its relaxed geometry.

```
Ba2Mg5Zn3
1.0
8.0177 -5.6719 0.0000
8.0177 5.6719 0.0000
-2.7842 0.0000 6.1418
Ba Mg Zn
4 10 6
Cartesian
3.5988 3.1029 5.3873
8.2604 3.1029 3.8254
4.9909 -3.1029 2.3164
9.6525 -3.1029 0.7545
0.3364 1.2070 3.8682
1.7285 -1.2070 0.7973
4.5120 0.0006 0.2281
3.1199 -0.0006 3.2990
5.9296 0.0065 4.6063
7.3217 -0.0065 1.5354
10.1314 0.0006 2.8428
8.7393 -0.0006 5.9137
11.5228 1.2070 5.3445
12.9149 -1.2070 2.2736
7.3217 5.6700 1.5354
5.9296 -5.6700 4.6063
5.1927 1.7016 2.4015
9.4506 1.7016 0.6694
3.8007 -1.7016 5.4724
8.0585 -1.7016 3.7403
```

Output
The value obtained for the calculated volume is 558.6 Å³ per cell. As for the formation energy: -98 meV/atom. The calculation puts the density of states at the Fermi level at 0.78 states/eV per atom.

A plane-wave DFT calculation with GGA-PBE was carried out for crystalline Na2Ge2Os at its relaxed geometry.

```
Na2Ge2Os
1.0
6.4285 0.0000 0.0000
0.0000 6.4285 0.0000
0.0000 0.0000 5.0673
Na Ge Os
4 4 2
Cartesian
1.1720 2.0423 0.0000
2.0423 5.2565 0.0000
4.3862 1.1720 0.0000
5.2565 4.3862 0.0000
0.9539 4.1681 2.5337
2.2604 0.9539 2.5337
4.1681 5.4746 2.5337
5.4746 2.2604 2.5337
0.0000 0.0000 2.5337
3.2142 3.2142 2.5337
```

Output
The value obtained for the calculated volume is 209.4 Å³ per cell. The energy above the lowest structure with this stoichiometry comes out at 0.000 eV/atom. As for the formation energy: 169 meV/atom. The calculation puts the density of states at the Fermi level at 0.89 states/eV per atom.

A plane-wave DFT calculation with GGA-PBE was carried out for crystalline SrSc2Cr at its relaxed geometry.

```
SrSc2Cr
1.0
3.4355 0.0000 0.0000
-1.7178 2.9752 0.0000
0.0000 0.0000 31.3770
Sr Sc Cr
3 6 3
Cartesian
0.0000 0.0000 0.0000
0.0000 1.9835 20.9180
1.7178 0.9917 10.4590
0.0000 0.0000 7.2559
0.0000 0.0000 24.1211
0.0000 1.9835 13.6621
0.0000 1.9835 28.1739
1.7178 0.9917 3.2031
1.7178 0.9917 17.7149
0.0000 0.0000 15.6885
0.0000 1.9835 5.2295
1.7178 0.9917 26.1475
```

Output
The value obtained for the calculated volume is 320.7 Å³ per cell. The energy above the lowest structure with this stoichiometry comes out at 0.238 eV/atom. As for the formation energy: 534 meV/atom. The calculation puts the density of states at the Fermi level at 1.59 states/eV per atom.

A plane-wave DFT calculation with GGA-PBE was carried out for crystalline KLaAs2 at its relaxed geometry.

```
KLaAs2
1.0
5.0170 0.0000 0.0000
0.0000 5.0170 0.0000
0.0000 0.0000 4.1990
K La As
1 1 2
Cartesian
0.0000 0.0000 0.0000
2.5085 2.5085 0.0000
0.0000 2.5085 2.0995
2.5085 0.0000 2.0995
```

Output
The value obtained for the calculated volume is 105.7 Å³ per cell. The energy above the lowest structure with this stoichiometry comes out at 0.238 eV/atom. As for the formation energy: -643 meV/atom. The calculation puts the density of states at the Fermi level at 0.56 states/eV per atom.